1) # CsRbIr3

CsRbIr3 after structural relaxation (PBE, the Alexandria database).

Geometry as CIF:
```
data_CsRbIr3
_chemical_formula_sum 'Cs1 Rb1 Ir3'
_cell_length_a 5.218
_cell_length_b 5.218
_cell_length_c 5.218
_cell_angle_alpha 90.00
_cell_angle_beta 90.00
_cell_angle_gamma 90.00
_symmetry_space_group_name_H-M 'P m -3 m'
_symmetry_Int_Tables_number 221
_symmetry_space_group_name_Hall '-P 4 2 3'
loop_
_atom_site_label
_atom_site_type_symbol
_atom_site_fract_x
_atom_site_fract_y
_atom_site_fract_z
Cs1 Cs 0.000 0.000 0.000
Rb1 Rb 0.500 0.500 0.500
Ir1 Ir 0.000 0.000 0.500
```

N(E_F) = 1.9558 states/eV/atom

***

2) # CsRbIr3

CsRbIr3 after structural relaxation (PBE, the Alexandria database).

Geometry as CIF:
```
data_CsRbIr3
_chemical_formula_sum 'Cs1 Rb1 Ir3'
_cell_length_a 5.252
_cell_length_b 5.252
_cell_length_c 5.252
_cell_angle_alpha 90.00
_cell_angle_beta 90.00
_cell_angle_gamma 90.00
_symmetry_space_group_name_H-M 'P m -3 m'
_symmetry_Int_Tables_number 221
_symmetry_space_group_name_Hall '-P 4 2 3'
loop_
_atom_site_label
_atom_site_type_symbol
_atom_site_fract_x
_atom_site_fract_y
_atom_site_fract_z
Cs1 Cs 0.000 0.000 0.000
Rb1 Rb 0.500 0.500 0.500
Ir1 Ir 0.000 0.500 0.500
```

N(E_F) = 2.3186 states/eV/atom

***

Which of them is the least stable? Correct choice: 2).

***

1) # CsReIr3

CsReIr3 after structural relaxation (PBE, the Alexandria database).

Geometry as CIF:
```
data_CsReIr3
_chemical_formula_sum 'Cs1 Re1 Ir3'
_cell_length_a 4.894
_cell_length_b 4.894
_cell_length_c 4.894
_cell_angle_alpha 90.00
_cell_angle_beta 90.00
_cell_angle_gamma 90.00
_symmetry_space_group_name_H-M 'P m -3 m'
_symmetry_Int_Tables_number 221
_symmetry_space_group_name_Hall '-P 4 2 3'
loop_
_atom_site_label
_atom_site_type_symbol
_atom_site_fract_x
_atom_site_fract_y
_atom_site_fract_z
Cs1 Cs 0.000 0.000 0.000
Re1 Re 0.500 0.500 0.500
Ir1 Ir 0.000 0.500 0.500
```

N(E_F) = 0.9069 states/eV/atom

***

2) # CsReIr3

CsReIr3 after structural relaxation (PBE, the Alexandria database).

Geometry as CIF:
```
data_CsReIr3
_chemical_formula_sum 'Cs1 Re1 Ir3'
_cell_length_a 4.851
_cell_length_b 4.851
_cell_length_c 4.851
_cell_angle_alpha 90.00
_cell_angle_beta 90.00
_cell_angle_gamma 90.00
_symmetry_space_group_name_H-M 'P m -3 m'
_symmetry_Int_Tables_number 221
_symmetry_space_group_name_Hall '-P 4 2 3'
loop_
_atom_site_label
_atom_site_type_symbol
_atom_site_fract_x
_atom_site_fract_y
_atom_site_fract_z
Cs1 Cs 0.000 0.000 0.000
Re1 Re 0.500 0.500 0.500
Ir1 Ir 0.000 0.000 0.500
```

N(E_F) = 2.6743 states/eV/atom

***

Which of them is the least stable? Correct choice: 2).

***

1) # CsIr2Rh

CsIr2Rh after structural relaxation (PBE, the Alexandria database).

Geometry as CIF:
```
data_CsIr2Rh
_chemical_formula_sum 'Cs4 Ir8 Rh4'
_cell_length_a 5.311
_cell_length_b 5.311
_cell_length_c 16.449
_cell_angle_alpha 90.00
_cell_angle_beta 90.00
_cell_angle_gamma 90.00
_symmetry_space_group_name_H-M 'I 41/a m d'
_symmetry_Int_Tables_number 141
loop_
_symmetry_equiv_pos_as_xyz
'x,y,z'
'-x,-y,-z'
'-y+1/4,x+3/4,z+1/4'
'y+1/4,-x+3/4,-z+1/4'
'-x+1/2,-y,z+1/2'
'x+1/2,y,-z+1/2'
'y+1/4,-x+1/4,z+3/4'
'-y+1/4,x+1/4,-z+3/4'
'x,-y,-z'
'-x,y,z'
'-y+1/4,-x+1/4,-z+3/4'
'y+1/4,x+1/4,z+3/4'
'-x+1/2,y,-z+1/2'
'x+1/2,-y,z+1/2'
'y+1/4,x+3/4,-z+1/4'
'-y+1/4,-x+3/4,z+1/4'
'x+1/2,y+1/2,z+1/2'
'-x+1/2,-y+1/2,-z+1/2'
'-y+3/4,x+1/4,z+3/4'
'y+3/4,-x+1/4,-z+3/4'
'-x,-y+1/2,z'
'x,y+1/2,-z'
'y+3/4,-x+3/4,z+1/4'
'-y+3/4,x+3/4,-z+1/4'
'x+1/2,-y+1/2,-z+1/2'
'-x+1/2,y+1/2,z+1/2'
'-y+3/4,-x+3/4,-z+1/4'
'y+3/4,x+3/4,z+1/4'
'-x,y+1/2,-z'
'x,-y+1/2,z'
'y+3/4,x+1/4,-z+3/4'
'-y+3/4,-x+1/4,z+3/4'
loop_
_atom_site_label
_atom_site_type_symbol
_atom_site_fract_x
_atom_site_fract_y
_atom_site_fract_z
Cs1 Cs 0.000 0.250 0.375
Ir1 Ir 0.000 0.000 0.000
Rh1 Rh 0.000 0.250 0.875
```

N(E_F) = 1.6280 states/eV/atom

***

2) # CsIr2Rh

CsIr2Rh after structural relaxation (PBE, the Alexandria database).

Geometry as CIF:
```
data_CsIr2Rh
_chemical_formula_sum 'Cs4 Ir8 Rh4'
_cell_length_a 6.687
_cell_length_b 6.687
_cell_length_c 6.687
_cell_angle_alpha 90.00
_cell_angle_beta 90.00
_cell_angle_gamma 90.00
_symmetry_space_group_name_H-M 'F m -3 m'
_symmetry_Int_Tables_number 225
_symmetry_space_group_name_Hall '-F 4 2 3'
loop_
_atom_site_label
_atom_site_type_symbol
_atom_site_fract_x
_atom_site_fract_y
_atom_site_fract_z
Cs1 Cs 0.000 0.000 0.000
Ir1 Ir 0.250 0.250 0.250
Rh1 Rh 0.000 0.000 0.500
```

N(E_F) = 1.3650 states/eV/atom

***

Which of them is the least stable? Correct choice: 2).

***

1) # Cs2IrRu

Cs2IrRu after structural relaxation (PBE, the Alexandria database).

Geometry as CIF:
```
data_Cs2IrRu
_chemical_formula_sum 'Cs8 Ir4 Ru4'
_cell_length_a 13.073
_cell_length_b 13.073
_cell_length_c 4.666
_cell_angle_alpha 90.00
_cell_angle_beta 90.00
_cell_angle_gamma 90.00
_symmetry_space_group_name_H-M 'I 41/a m d'
_symmetry_Int_Tables_number 141
loop_
_symmetry_equiv_pos_as_xyz
'x,y,z'
'-x,-y,-z'
'-y+1/4,x+3/4,z+1/4'
'y+1/4,-x+3/4,-z+1/4'
'-x+1/2,-y,z+1/2'
'x+1/2,y,-z+1/2'
'y+1/4,-x+1/4,z+3/4'
'-y+1/4,x+1/4,-z+3/4'
'x,-y,-z'
'-x,y,z'
'-y+1/4,-x+1/4,-z+3/4'
'y+1/4,x+1/4,z+3/4'
'-x+1/2,y,-z+1/2'
'x+1/2,-y,z+1/2'
'y+1/4,x+3/4,-z+1/4'
'-y+1/4,-x+3/4,z+1/4'
'x+1/2,y+1/2,z+1/2'
'-x+1/2,-y+1/2,-z+1/2'
'-y+3/4,x+1/4,z+3/4'
'y+3/4,-x+1/4,-z+3/4'
'-x,-y+1/2,z'
'x,y+1/2,-z'
'y+3/4,-x+3/4,z+1/4'
'-y+3/4,x+3/4,-z+1/4'
'x+1/2,-y+1/2,-z+1/2'
'-x+1/2,y+1/2,z+1/2'
'-y+3/4,-x+3/4,-z+1/4'
'y+3/4,x+3/4,z+1/4'
'-x,y+1/2,-z'
'x,-y+1/2,z'
'y+3/4,x+1/4,-z+3/4'
'-y+3/4,-x+1/4,z+3/4'
loop_
_atom_site_label
_atom_site_type_symbol
_atom_site_fract_x
_atom_site_fract_y
_atom_site_fract_z
Cs1 Cs 0.000 0.000 0.000
Ir1 Ir 0.000 0.250 0.375
Ru1 Ru 0.000 0.250 0.875
```

N(E_F) = 1.6330 states/eV/atom

***

2) # Cs2IrRu

Cs2IrRu after structural relaxation (PBE, the Alexandria database).

Geometry as CIF:
```
data_Cs2IrRu
_chemical_formula_sum 'Cs8 Ir4 Ru4'
_cell_length_a 7.759
_cell_length_b 7.759
_cell_length_c 7.759
_cell_angle_alpha 90.00
_cell_angle_beta 90.00
_cell_angle_gamma 90.00
_symmetry_space_group_name_H-M 'F m -3 m'
_symmetry_Int_Tables_number 225
_symmetry_space_group_name_Hall '-F 4 2 3'
loop_
_atom_site_label
_atom_site_type_symbol
_atom_site_fract_x
_atom_site_fract_y
_atom_site_fract_z
Cs1 Cs 0.250 0.250 0.250
Ir1 Ir 0.000 0.000 0.000
Ru1 Ru 0.000 0.000 0.500
```

N(E_F) = 3.0658 states/eV/atom

***

Which of them is the least stable? Correct choice: 2).

***

1) # CsIrRu

CsIrRu after structural relaxation (PBE, the Alexandria database).

Geometry as CIF:
```
data_CsIrRu
_chemical_formula_sum 'Cs4 Ir4 Ru4'
_cell_length_a 4.478
_cell_length_b 13.651
_cell_length_c 5.158
_cell_angle_alpha 90.00
_cell_angle_beta 90.00
_cell_angle_gamma 90.00
_symmetry_space_group_name_H-M 'C m c m'
_symmetry_Int_Tables_number 63
_symmetry_space_group_name_Hall '-C 2c 2'
loop_
_atom_site_label
_atom_site_type_symbol
_atom_site_fract_x
_atom_site_fract_y
_atom_site_fract_z
Cs1 Cs 0.000 0.215 0.250
Ir1 Ir 0.000 0.023 0.750
Ru1 Ru 0.000 0.500 0.000
```

N(E_F) = 0.9992 states/eV/atom

***

2) # CsIrRu

CsIrRu after structural relaxation (PBE, the Alexandria database).

Geometry as CIF:
```
data_CsIrRu
_chemical_formula_sum 'Cs4 Ir4 Ru4'
_cell_length_a 8.491
_cell_length_b 4.259
_cell_length_c 10.450
_cell_angle_alpha 90.00
_cell_angle_beta 90.00
_cell_angle_gamma 90.00
_symmetry_space_group_name_H-M 'P n m a'
_symmetry_Int_Tables_number 62
loop_
_symmetry_equiv_pos_as_xyz
'x,y,z'
'-x,-y,-z'
'-x+1/2,-y,z+1/2'
'x+1/2,y,-z+1/2'
'x+1/2,-y+1/2,-z+1/2'
'-x+1/2,y+1/2,z+1/2'
'-x,y+1/2,-z'
'x,-y+1/2,z'
loop_
_atom_site_label
_atom_site_type_symbol
_atom_site_fract_x
_atom_site_fract_y
_atom_site_fract_z
Cs1 Cs 0.000 0.250 0.186
Ir1 Ir 0.143 0.250 0.551
Ru1 Ru 0.139 0.750 0.448
```

N(E_F) = 1.0777 states/eV/atom

***

Which of them is the least stable? Correct choice: 2).

***

1) # CsIr3Ru

CsIr3Ru after structural relaxation (PBE, the Alexandria database).

Geometry as CIF:
```
data_CsIr3Ru
_chemical_formula_sum 'Cs1 Ir3 Ru1'
_cell_length_a 4.920
_cell_length_b 4.920
_cell_length_c 4.920
_cell_angle_alpha 90.00
_cell_angle_beta 90.00
_cell_angle_gamma 90.00
_symmetry_space_group_name_H-M 'P m -3 m'
_symmetry_Int_Tables_number 221
_symmetry_space_group_name_Hall '-P 4 2 3'
loop_
_atom_site_label
_atom_site_type_symbol
_atom_site_fract_x
_atom_site_fract_y
_atom_site_fract_z
Cs1 Cs 0.000 0.000 0.000
Ir1 Ir 0.000 0.000 0.500
Ru1 Ru 0.500 0.500 0.500
```

N(E_F) = 1.3332 states/eV/atom

***

2) # CsIr3Ru

CsIr3Ru after structural relaxation (PBE, the Alexandria database).

Geometry as CIF:
```
data_CsIr3Ru
_chemical_formula_sum 'Cs1 Ir3 Ru1'
_cell_length_a 4.865
_cell_length_b 4.865
_cell_length_c 4.865
_cell_angle_alpha 90.00
_cell_angle_beta 90.00
_cell_angle_gamma 90.00
_symmetry_space_group_name_H-M 'P m -3 m'
_symmetry_Int_Tables_number 221
_symmetry_space_group_name_Hall '-P 4 2 3'
loop_
_atom_site_label
_atom_site_type_symbol
_atom_site_fract_x
_atom_site_fract_y
_atom_site_fract_z
Cs1 Cs 0.000 0.000 0.000
Ir1 Ir 0.000 0.500 0.500
Ru1 Ru 0.500 0.500 0.500
```

N(E_F) = 1.2500 states/eV/atom

***

Which of them is the least stable? Correct choice: 1).